A plane-wave DFT calculation with PBE was carried out for an optimized crystal structure of Tb12Al3O5.

The density of states at the Fermi level is 113.479 states/eV/cell. For the formation energy from raw total energies, the calculation gives -1.512 eV per atom. Its total moment is 0.00 μB per cell.

The space group is Ia-3d (No. 230) and the conventional cell measures 15.455, 15.455 and 15.455 Å, with angles of 90.00, 90.00 and 90.00 degrees. The inequivalent atoms are Tb at (0.038, 0.052, 0.649), Al at (0.000, 0.250, 0.125), O at (0.000, 0.000, 0.000) and O at (0.000, 0.250, 0.375).


A plane-wave DFT calculation with PBE was carried out for an optimized crystal structure of Tb4AlTlO.

The density of states at the Fermi level is 9.410 states/eV/cell. For the formation energy from raw total energies, the calculation gives -1.024 eV per atom. Its total moment is 0.00 μB per cell.

The space group is Cmcm (No. 63) and the conventional cell measures 6.553, 16.354 and 6.557 Å, with angles of 90.00, 90.00 and 90.00 degrees. The inequivalent atoms are Tb at (0.000, 0.072, 0.250), Tb at (0.000, 0.418, 0.250), Tb at (0.250, 0.250, 0.000), Al at (0.000, 0.116, 0.750), Tl at (0.000, 0.391, 0.750) and O at (0.000, 0.261, 0.250).


A plane-wave DFT calculation with PBE was carried out for an optimized crystal structure of TbUAlO6.

The density of states at the Fermi level is 0.000 states/eV/cell. For the formation energy from raw total energies, the calculation gives -3.178 eV per atom. Its total moment is 0.00 μB per cell.

The space group is P-31c (No. 163) and the conventional cell measures 5.2873, 5.2873 and 9.7989 Å, with angles of 90.00, 90.00 and 120.00 degrees. The inequivalent atoms are Tb at (0.0000, 0.0000, 0.0000), U at (0.3333, 0.6667, 0.2500), Al at (0.3333, 0.6667, 0.7500) and O at (0.0219, 0.3660, 0.6404).


A plane-wave DFT calculation with PBE was carried out for an optimized crystal structure of TbY2AlO.

The density of states at the Fermi level is 1.712 states/eV/cell. For the formation energy from raw total energies, the calculation gives -1.370 eV per atom. Its total moment is 0.00 μB per cell.

The space group is P4/mmm (No. 123) and the conventional cell measures 4.743, 4.743 and 4.750 Å, with angles of 90.00, 90.00 and 90.00 degrees. The inequivalent atoms are Tb at (0.000, 0.000, 0.000), Y at (0.000, 0.500, 0.500), Al at (0.500, 0.500, 0.000) and O at (0.000, 0.000, 0.500).


A plane-wave DFT calculation with PBE was carried out for an optimized crystal structure of AlTcO3.

The density of states at the Fermi level is 3.319 states/eV/cell. For the formation energy from raw total energies, the calculation gives -1.258 eV per atom. Its total moment is 3.99 μB per cell.

The space group is Pm-3m (No. 221) and the conventional cell measures 3.655, 3.655 and 3.655 Å, with angles of 90.00, 90.00 and 90.00 degrees. The inequivalent atoms are Al at (0.000, 0.000, 0.000), Tc at (0.500, 0.500, 0.500) and O at (0.000, 0.000, 0.500).


A plane-wave DFT calculation with PBE was carried out for an optimized crystal structure of AlTc3O.

The density of states at the Fermi level is 6.612 states/eV/cell. For the formation energy from raw total energies, the calculation gives -0.096 eV per atom. The value obtained for the energy above the most stable polymorph in this dataset is 0 meV per atom. Its total moment is 0.00 μB per cell.

The space group is Pm-3m (No. 221) and the conventional cell measures 4.064, 4.064 and 4.064 Å, with angles of 90.00, 90.00 and 90.00 degrees. The inequivalent atoms are Al at (0.000, 0.000, 0.000), Tc at (0.000, 0.500, 0.500) and O at (0.500, 0.500, 0.500).


A plane-wave DFT calculation with PBE was carried out for an optimized crystal structure of AlTcO3.

The density of states at the Fermi level is 2.333 states/eV/cell. For the formation energy from raw total energies, the calculation gives -0.957 eV per atom. Its total moment is 0.00 μB per cell.

The space group is Pm-3m (No. 221) and the conventional cell measures 3.887, 3.887 and 3.887 Å, with angles of 90.00, 90.00 and 90.00 degrees. The inequivalent atoms are Al at (0.000, 0.000, 0.000), Tc at (0.500, 0.500, 0.500) and O at (0.000, 0.500, 0.500).


A plane-wave DFT calculation with PBE was carried out for an optimized crystal structure of AlTcO2.

The density of states at the Fermi level is 11.393 states/eV/cell. For the formation energy from raw total energies, the calculation gives -1.257 eV per atom. Its total moment is 3.49 μB per cell.

The space group is I-42d (No. 122) and the conventional cell measures 4.660, 4.660 and 8.578 Å, with angles of 90.00, 90.00 and 90.00 degrees. The inequivalent atoms are Al at (0.000, 0.000, 0.000), Tc at (0.000, 0.000, 0.500) and O at (0.171, 0.250, 0.125).


A plane-wave DFT calculation with PBE was carried out for an optimized crystal structure of AlTcO2.

The density of states at the Fermi level is 5.026 states/eV/cell. For the formation energy from raw total energies, the calculation gives -1.909 eV per atom. Its total moment is 0.00 μB per cell.

The space group is R-3m (No. 166, hexagonal axes) and the conventional cell measures 2.7569, 2.7569 and 18.4699 Å, with angles of 90.00, 90.00 and 120.00 degrees. The inequivalent atoms are Al at (0.0000, 0.0000, 0.0000), Tc at (0.0000, 0.0000, 0.5000) and O at (0.0000, 0.0000, 0.3875).


A plane-wave DFT calculation with PBE was carried out for an optimized crystal structure of AlTc2O.

The density of states at the Fermi level is 17.435 states/eV/cell. For the formation energy from raw total energies, the calculation gives 0.434 eV per atom. The value obtained for the energy above the most stable polymorph in this dataset is 554 meV per atom. Its total moment is 0.00 μB per cell.

The space group is Fm-3m (No. 225) and the conventional cell measures 5.904, 5.904 and 5.904 Å, with angles of 90.00, 90.00 and 90.00 degrees. The inequivalent atoms are Al at (0.000, 0.000, 0.000), Tc at (0.250, 0.250, 0.250) and O at (0.000, 0.000, 0.500).


A plane-wave DFT calculation with PBE was carried out for an optimized crystal structure of AlTc2O.

The density of states at the Fermi level is 18.990 states/eV/cell. For the formation energy from raw total energies, the calculation gives -0.119 eV per atom. The value obtained for the energy above the most stable polymorph in this dataset is 0 meV per atom. Its total moment is 0.00 μB per cell.

The space group is I-42d (No. 122) and the conventional cell measures 6.752, 6.752 and 4.666 Å, with angles of 90.00, 90.00 and 90.00 degrees. The inequivalent atoms are Al at (0.000, 0.000, 0.000), Tc at (0.155, 0.750, 0.625) and O at (0.000, 0.000, 0.500).


A plane-wave DFT calculation with PBE was carried out for an optimized crystal structure of AlTcO4.

The density of states at the Fermi level is 2.311 states/eV/cell. For the formation energy from raw total energies, the calculation gives -1.981 eV per atom. Its total moment is 3.63 μB per cell.

The space group is P2_1/c (No. 14) and the conventional cell measures 5.411, 4.543 and 5.456 Å, with angles of 90.00, 113.90 and 90.00 degrees. The inequivalent atoms are Al at (0.000, 0.000, 0.000), Tc at (0.500, 0.000, 0.500), O at (0.148, 0.198, 0.343) and O at (0.341, 0.694, 0.645).